The following is a DFT calculation (PBE) of a geometry-optimized Pu2GaRu3 structure.

Results
Density of states at the Fermi level, states/eV per cell: 30.9
Uncorrected energy, eV per atom: -10.187
Crystal system: hexagonal
Energy above the lowest structure with this stoichiometry, eV per atom: 0.000
Formation energy, eV/f.u.: -1.601

Unit cell a=5.5484 b=5.5484 c=7.9683 alpha=90.00 beta=90.00 gamma=120.00
With the nearest neighbours (Å) after each atom.
Space group P6_3/mmc (No. 194)
Asymmetric unit:
Pu (0.3333, 0.6667, 0.0690) x4  1 Pu 2.88, 9 Ru 2.98-3.13
Ga (0.0000, 0.0000, 0.0000) x2  6 Ru 2.59
Ru (0.1714, 0.3429, 0.7500) x6  2 Ga 2.59, 4 Ru 2.69-2.85